! NpScC2, relaxed, DFT PBE; values from VASP
&SYSTEM
  ibrav = 0, nat = 4, ntyp = 3
/
ATOMIC_SPECIES
Np 237.00 Np.upf
Sc 44.96 Sc.upf
C 12.01 C.upf
CELL_PARAMETERS angstrom
1.711 0.988 5.563
-1.711 0.988 5.563
0.000 -1.975 5.563
ATOMIC_POSITIONS angstrom
Np 0.000 0.000 0.000
Sc 0.000 0.000 8.345
C 0.000 0.000 4.234
C 0.000 0.000 12.456
! raw total energy	-38.32	eV for the cell shown
! symmetry	R-3m
! formation energy	-149	meV/atom
! N(E_F)	1.1148	states/eV per atom